Compound: MgZr3
Source: OQMD via LeMat-Bulk
Functional: PBE
Structure: relaxed

Cell: 6.3382 6.3382 5.1459 Å, 90.00 90.00 120.00°
Closest atoms and distances in Å follow each position.
Atoms (fractional coordinates):
Mg  0.3333  0.6667  0.2500  12 Zr 3.14-3.17
Mg  0.6667  0.3333  0.7500  12 Zr 3.14-3.17
Zr  0.1689  0.3378  0.7500  8 Zr 3.13-3.21, 4 Mg 3.14-3.17
Zr  0.1689  0.8311  0.7500  8 Zr 3.13-3.21, 4 Mg 3.14-3.17
Zr  0.3378  0.1689  0.2500  8 Zr 3.13-3.21, 4 Mg 3.14-3.17
Zr  0.6622  0.8311  0.7500  8 Zr 3.13-3.21, 4 Mg 3.14-3.17
Zr  0.8311  0.1689  0.2500  8 Zr 3.13-3.21, 4 Mg 3.14-3.17
Zr  0.8311  0.6622  0.2500  8 Zr 3.13-3.21, 4 Mg 3.14-3.17

## Properties
Calculated volume = 22.379 Å³/atom
Mass density = 5.53 g/cm³
DFT total energy = -0.4975 Ry/atom
Magnetic moment = 0.42 μB per formula unit